# PBE KSi2Ru, optimized geometry
# energy above the most stable polymorph in this dataset: 0.5451 eV/atom
# total magnetic moment: 0.00 μB per cell
# raw formation energy: 1.78 eV/f.u.
# E: -4.8599 eV/atom
data_KSi2Ru
_cell_length_a 9.2791
_cell_length_b 9.2791
_cell_length_c 9.2791
_cell_angle_alpha 18.88
_cell_angle_beta 18.88
_cell_angle_gamma 18.88
_space_group_name_H-M_alt 'P 1'
_space_group_IT_number 1
loop_
_space_group_symop_operation_xyz
'x,y,z'
loop_
_atom_site_label
_atom_site_type_symbol
_atom_site_fract_x
_atom_site_fract_y
_atom_site_fract_z
_atom_site_occupancy
K1 K 0.4994 0.4994 0.4994 1
Ru1 Ru 0.7295 0.7295 0.7295 1
Si1 Si 0.0018 0.0018 0.0018 1
Si2 Si 0.2692 0.2692 0.2692 1